ZrAl2Cl | PBE-GGA | relaxed

a b c (Å): 3.1143 3.1143 8.1570
angles (deg): 90.00 90.00 90.37
With the nearest neighbours (Å) after each atom.
Fractional positions:
Cl  0.5000  0.5000  0.2500  8 Al 3.06-3.07, 4 Cl 3.11
Al  0.0000  0.0000  0.5114  4 Zr 2.93-2.94, 4 Cl 3.06-3.07, 4 Al 3.11
Al  0.0000  0.0000  0.9886  4 Zr 2.93-2.94, 4 Cl 3.06-3.07, 4 Al 3.11
Zr  0.5000  0.5000  0.7500  8 Al 2.93-2.94, 4 Zr 3.11

Calculated values
Total DFT energy (no corrections)   -4.687 eV per atom
Volume   19.8 Å³ per atom
SG   Cmmm
Formation energy from raw total energies   -217 meV/atom